# TiTcPb2Br PBE-GGA relaxed
# E = -5.267 eV per atom
data_TiTcPb2Br
_symmetry_space_group_name_H-M 'P 4/m m m'
_symmetry_Int_Tables_number 123
_symmetry_space_group_name_Hall '-P 4 2'
_cell_length_a 5.418
_cell_length_b 5.418
_cell_length_c 4.644
_cell_angle_alpha 90.00
_cell_angle_beta 90.00
_cell_angle_gamma 90.00
loop_
_atom_site_label
_atom_site_fract_x
_atom_site_fract_y
_atom_site_fract_z
Ti1 0.000 0.000 0.000
Tc1 0.000 0.000 0.500
Pb1 0.000 0.500 0.500
Br1 0.500 0.500 0.000